Model P:
## Pr3NpN4 (PBE)

Data for a geometry-optimized Pr3NpN4 structure.

Unit cell a=6.237 b=6.278 c=7.234 alpha=90.00 beta=90.00 gamma=109.61
Fractional positions:
Pr1 0.250 0.500 0.374
Np1 0.750 0.000 0.875
Pr2 0.250 0.500 0.875
N1 0.503 0.220 0.890
N2 0.473 0.229 0.350
N3 0.973 0.229 0.650
Pr3 0.750 0.000 0.374
Np2 0.250 0.000 0.125
N4 0.027 0.771 0.350
N5 0.497 0.780 0.110
Pr4 0.250 0.000 0.626
Pr5 0.750 0.500 0.125
N6 0.003 0.220 0.110
Pr6 0.750 0.500 0.626
N7 0.997 0.780 0.890
N8 0.527 0.771 0.650

Properties
For the spin magnetization, the calculation gives 5.45 Bohr magnetons per cell.


Model Q:
## Pr3NpN4 (PBE)

Data for a geometry-optimized Pr3NpN4 structure.

Unit cell a=5.266 b=7.127 c=8.404 alpha=90.00 beta=90.00 gamma=90.00
Fractional positions:
N1 0.559 0.136 0.500
Pr1 0.056 0.158 0.500
Np1 0.548 0.822 0.500
Pr2 0.556 0.842 0.000
N2 0.560 0.680 0.737
N3 0.119 0.823 0.500
Pr3 0.557 0.331 0.746
N4 0.060 0.320 0.237
Pr4 0.557 0.331 0.254
N5 0.059 0.864 0.000
Pr5 0.057 0.669 0.246
N6 0.060 0.320 0.763
Pr6 0.057 0.669 0.754
N7 0.560 0.680 0.263
Np2 0.048 0.178 0.000
N8 0.619 0.177 0.000

Properties
For the spin magnetization, the calculation gives 7.16 Bohr magnetons per cell.


Least stable = model Q


Model P:
## PrNpN (PBE)

Data for a geometry-optimized PrNpN structure.

Unit cell a=3.578 b=4.284 c=9.573 alpha=111.25 beta=90.00 gamma=90.00
Fractional positions:
N1 0.250 0.982 0.141
Pr1 0.250 0.890 0.673
Np1 0.750 0.632 0.953
Np2 0.250 0.368 0.047
Pr2 0.750 0.110 0.327
N2 0.750 0.018 0.859

Properties
For the spin magnetization, the calculation gives 1.30 Bohr magnetons per cell.


Model Q:
## PrNpN (PBE)

Data for a geometry-optimized PrNpN structure.

Unit cell a=6.396 b=3.471 c=3.471 alpha=120.00 beta=90.00 gamma=90.00
Fractional positions:
Pr1 0.570 0.667 0.333
N1 0.310 0.333 0.667
Np1 0.119 0.000 0.000

Properties
For the spin magnetization, the calculation gives 4.17 Bohr magnetons per cell.


Least stable = model Q


Model P:
## Np2PtN (PBE)

Data for a geometry-optimized Np2PtN structure.

Unit cell a=3.014 b=3.014 c=7.279 alpha=90.00 beta=90.00 gamma=90.00
Fractional positions:
Np1 0.000 0.000 0.694
Pt1 0.500 0.500 0.000
N1 0.500 0.500 0.500
Np2 0.000 0.000 0.306

Properties
For the spin magnetization, the calculation gives 7.38 Bohr magnetons per cell.


Model Q:
## Np2PtN (PBE)

Data for a geometry-optimized Np2PtN structure.

Unit cell a=3.016 b=3.016 c=8.840 alpha=80.18 beta=80.18 gamma=60.00
Fractional positions:
N1 0.500 0.500 0.500
Np1 0.107 0.107 0.679
Pt1 0.000 0.000 0.000
Np2 0.893 0.893 0.321

Properties
For the spin magnetization, the calculation gives 5.63 Bohr magnetons per cell.


Least stable = model Q


Model P:
## NpPtN (PBE)

Data for a geometry-optimized NpPtN structure.

Unit cell a=3.844 b=3.844 c=7.086 alpha=90.06 beta=90.06 gamma=88.43
Fractional positions:
N1 0.000 0.500 0.000
Pt1 0.737 0.737 0.500
Np1 0.000 0.000 0.829
Np2 0.000 0.000 0.171
N2 0.500 0.000 0.000
Pt2 0.263 0.263 0.500

Properties
For the spin magnetization, the calculation gives 2.88 Bohr magnetons per cell.


Model Q:
## NpPtN (PBE)

Data for a geometry-optimized NpPtN structure.

Unit cell a=4.081 b=3.777 c=3.777 alpha=120.00 beta=90.00 gamma=90.00
Fractional positions:
Np1 0.166 0.667 0.333
N1 0.168 0.000 0.000
Pt1 0.666 0.333 0.667

Properties
For the spin magnetization, the calculation gives 2.03 Bohr magnetons per cell.


Least stable = model Q


Model P:
## Pu3NpN6 (PBE)

Data for a geometry-optimized Pu3NpN6 structure.

Unit cell a=6.707 b=6.707 c=6.707 alpha=91.37 beta=91.37 gamma=91.37
Fractional positions:
Np1 0.000 0.000 0.000
N1 0.946 0.694 0.088
N2 0.193 0.532 0.402
Pu1 0.251 0.553 0.058
Pu2 0.447 0.942 0.749
Np2 0.500 0.500 0.500
N3 0.088 0.946 0.694
Pu3 0.058 0.251 0.553
Pu4 0.942 0.749 0.447
N4 0.807 0.468 0.598
N5 0.532 0.402 0.193
N6 0.598 0.807 0.468
Pu5 0.553 0.058 0.251
N7 0.306 0.912 0.054
Pu6 0.749 0.447 0.942
N8 0.054 0.306 0.912
N9 0.912 0.054 0.306
N10 0.402 0.193 0.532
N11 0.468 0.598 0.807
N12 0.694 0.088 0.946

Properties
For the spin magnetization, the calculation gives 26.00 Bohr magnetons per cell.


Model Q:
## Pu3NpN6 (PBE)

Data for a geometry-optimized Pu3NpN6 structure.

Unit cell a=5.886 b=5.886 c=5.852 alpha=59.80 beta=59.80 gamma=60.00
Fractional positions:
Pu1 0.630 0.630 0.109
Pu2 0.133 0.133 0.602
N1 0.550 0.227 0.245
N2 0.227 0.978 0.245
N3 0.039 0.484 0.735
Np1 0.856 0.856 0.431
Pu3 0.360 0.360 0.919
N4 0.742 0.039 0.735
N5 0.484 0.742 0.735
N6 0.978 0.550 0.245

Properties
For the spin magnetization, the calculation gives 13.00 Bohr magnetons per cell.


Least stable = model Q


Model P:
## RbNpN2 (PBE)

Data for a geometry-optimized RbNpN2 structure.

Unit cell a=3.534 b=3.534 c=6.996 alpha=75.37 beta=75.37 gamma=60.00
Fractional positions:
Rb1 0.500 0.500 0.500
N1 0.716 0.716 0.851
N2 0.284 0.284 0.149
Np1 0.000 0.000 0.000

Properties
For the spin magnetization, the calculation gives 2.00 Bohr magnetons per cell.


Model Q:
## RbNpN2 (PBE)

Data for a geometry-optimized RbNpN2 structure.

Unit cell a=3.528 b=3.528 c=7.051 alpha=75.51 beta=75.51 gamma=60.00
Fractional positions:
N1 0.051 0.051 0.848
Np1 0.667 0.667 0.999
N2 0.285 0.285 0.145
Rb1 0.497 0.497 0.508

Properties
For the spin magnetization, the calculation gives 2.00 Bohr magnetons per cell.


Least stable = model Q


Model P:
## NpRuN (PBE)

Data for a geometry-optimized NpRuN structure.

Unit cell a=4.015 b=4.015 c=4.210 alpha=118.49 beta=118.49 gamma=90.00
Fractional positions:
Np1 0.936 0.936 0.871
N1 0.617 0.617 0.234
Ru1 0.298 0.298 0.595

Properties
For the spin magnetization, the calculation gives 2.00 Bohr magnetons per cell.


Model Q:
## NpRuN (PBE)

Data for a geometry-optimized NpRuN structure.

Unit cell a=4.294 b=3.460 c=3.460 alpha=120.00 beta=90.00 gamma=90.00
Fractional positions:
Np1 0.280 0.667 0.333
N1 0.055 0.000 0.000
Ru1 0.665 0.333 0.667

Properties
For the spin magnetization, the calculation gives 1.60 Bohr magnetons per cell.


Least stable = model P


Model P:
## Np2SN (PBE)

Data for a geometry-optimized Np2SN structure.

Unit cell a=3.176 b=3.176 c=6.528 alpha=90.00 beta=90.00 gamma=90.00
Fractional positions:
S1 0.500 0.500 0.500
Np1 0.000 0.000 0.781
Np2 0.000 0.000 0.219
N1 0.500 0.500 0.000

Properties
For the spin magnetization, the calculation gives 8.68 Bohr magnetons per cell.


Model Q:
## Np2SN (PBE)

Data for a geometry-optimized Np2SN structure.

Unit cell a=3.559 b=3.559 c=6.798 alpha=74.83 beta=74.83 gamma=60.00
Fractional positions:
Np1 0.242 0.242 0.275
S1 0.669 0.669 0.993
Np2 0.093 0.093 0.721
N1 0.497 0.497 0.510

Properties
For the spin magnetization, the calculation gives 7.87 Bohr magnetons per cell.


Model R:
## Np2SN (PBE)

Data for a geometry-optimized Np2SN structure.

Unit cell a=3.619 b=3.619 c=6.518 alpha=73.88 beta=73.88 gamma=60.00
Fractional positions:
S1 0.500 0.500 0.500
Np1 0.263 0.263 0.212
Np2 0.737 0.737 0.788
N1 0.000 0.000 0.000

Properties
For the spin magnetization, the calculation gives 7.45 Bohr magnetons per cell.


Least stable = model P


Model P:
## Np2SeN (PBE)

Data for a geometry-optimized Np2SeN structure.

Unit cell a=3.667 b=3.667 c=6.812 alpha=74.38 beta=74.38 gamma=60.00
Fractional positions:
Np1 0.232 0.232 0.303
Se1 0.000 0.000 0.000
N1 0.500 0.500 0.500
Np2 0.768 0.768 0.697

Properties
For the spin magnetization, the calculation gives 7.59 Bohr magnetons per cell.


Model Q:
## Np2SeN (PBE)

Data for a geometry-optimized Np2SeN structure.

Unit cell a=3.234 b=3.234 c=6.753 alpha=90.00 beta=90.00 gamma=90.00
Fractional positions:
Np1 0.000 0.000 0.791
N1 0.500 0.500 0.000
Se1 0.500 0.500 0.500
Np2 0.000 0.000 0.209

Properties
For the spin magnetization, the calculation gives 8.80 Bohr magnetons per cell.


Least stable = model Q


Model P:
## Sm2NpN3 (PBE)

Data for a geometry-optimized Sm2NpN3 structure.

Unit cell a=3.479 b=6.882 c=8.753 alpha=109.09 beta=90.00 gamma=104.64
Fractional positions:
N1 0.321 0.642 0.869
N2 0.375 0.750 0.475
Sm1 0.332 0.665 0.167
N3 0.973 0.946 0.188
Sm2 0.834 0.669 0.666
N4 0.625 0.250 0.525
Sm3 0.166 0.331 0.334
N5 0.027 0.054 0.812
Np1 0.500 0.000 0.000
Sm4 0.668 0.335 0.833
Np2 0.000 0.000 0.500
N6 0.679 0.358 0.131

Properties
For the spin magnetization, the calculation gives 6.78 Bohr magnetons per cell.


Model Q:
## Sm2NpN3 (PBE)

Data for a geometry-optimized Sm2NpN3 structure.

Unit cell a=6.224 b=6.039 c=6.039 alpha=63.68 beta=89.99 gamma=89.99
Fractional positions:
Sm1 0.250 0.842 0.507
N1 0.750 0.564 0.436
N2 0.500 0.836 0.836
Sm2 0.250 0.493 0.158
Np1 0.750 0.886 0.114
Np2 0.250 0.114 0.886
N3 0.250 0.436 0.564
Sm3 0.750 0.158 0.493
N4 0.500 0.164 0.164
N5 0.000 0.164 0.164
Sm4 0.750 0.507 0.842
N6 0.000 0.836 0.836

Properties
For the spin magnetization, the calculation gives 7.93 Bohr magnetons per cell.


Least stable = model P


Model P:
## Np2TaN4 (PBE)

Data for a geometry-optimized Np2TaN4 structure.

Unit cell a=4.047 b=4.047 c=6.532 alpha=108.05 beta=108.05 gamma=90.00
Fractional positions:
N1 0.500 0.000 0.000
Ta1 0.000 0.000 0.000
Np1 0.639 0.639 0.278
N2 0.819 0.819 0.637
N3 0.181 0.181 0.363
Np2 0.361 0.361 0.722
N4 0.000 0.500 0.000

Properties
For the spin magnetization, the calculation gives 6.89 Bohr magnetons per cell.


Model Q:
## Np2TaN4 (PBE)

Data for a geometry-optimized Np2TaN4 structure.

Unit cell a=6.638 b=6.638 c=6.638 alpha=60.00 beta=60.00 gamma=90.01
Fractional positions:
Ta1 0.125 0.375 0.250
N1 0.752 0.748 0.504
N2 0.248 0.744 0.004
N3 0.756 0.252 0.496
N4 0.244 0.748 0.504
N5 0.248 0.252 0.496
Np1 0.000 0.000 0.000
Np2 0.500 0.000 0.500
N6 0.752 0.256 0.996
Ta2 0.875 0.625 0.750
Np3 0.500 0.000 0.000
N7 0.248 0.252 0.004
Np4 0.500 0.500 0.500
N8 0.752 0.748 0.996

Properties
For the spin magnetization, the calculation gives 14.03 Bohr magnetons per cell.


Least stable = model Q


Model P:
## ThNpN (PBE)

Data for a geometry-optimized ThNpN structure.

Unit cell a=3.090 b=3.090 c=6.500 alpha=103.75 beta=103.75 gamma=90.00
Fractional positions:
Th1 0.242 0.242 0.485
Np1 0.999 0.999 0.998
N1 0.609 0.609 0.217

Properties
For the spin magnetization, the calculation gives 4.04 Bohr magnetons per cell.


Model Q:
## ThNpN (PBE)

Data for a geometry-optimized ThNpN structure.

Unit cell a=3.635 b=5.121 c=6.324 alpha=90.00 beta=99.22 gamma=90.00
Fractional positions:
N1 0.212 0.750 0.356
Th1 0.189 0.250 0.355
N2 0.788 0.250 0.644
Np1 0.555 0.750 0.085
Np2 0.445 0.250 0.915
Th2 0.811 0.750 0.645

Properties
For the spin magnetization, the calculation gives 7.63 Bohr magnetons per cell.


Least stable = model P